This record from the Alexandria database describes a relaxed TbTmAlGe crystal. The functional is GGA-PBE.

The space group is Amm2 (No. 38) and the conventional cell measures 4.003, 4.349 and 10.823 Å, with angles of 90.00, 90.00 and 90.00 degrees. The asymmetric unit holds Tb at (0.000, 0.000, 0.000), Tm at (0.500, 0.000, 0.282), Al at (0.000, 0.000, 0.717) and Ge at (0.500, 0.000, 0.563).

The calculation puts the calculated density at 7.535 g/cm3. Its spin magnetization is 0.000 μB/atom. Its crystal system is orthorhombic. For the calculated formation energy, the calculation gives -685 meV/atom. As for the uncorrected energy: -40.402 eV/cell.


This record from the Alexandria database describes a relaxed TbAlZnGe2 crystal. The functional is GGA-PBE.

The space group is C2/m (No. 12) and the conventional cell measures 11.658, 4.107 and 8.691 Å, with angles of 90.00, 93.81 and 90.00 degrees. The asymmetric unit holds Tb at (0.192, 0.000, 0.295), Al at (0.028, 0.500, 0.736), Zn at (0.164, 0.000, 0.904), Ge at (0.106, 0.000, 0.609) and Ge at (0.114, 0.500, 0.052).

The calculation puts the calculated density at 6.345 g/cm3. Its spin magnetization is 0.000 μB/atom. Its crystal system is monoclinic. For the calculated formation energy, the calculation gives -274 meV/atom. As for the uncorrected energy: -81.011 eV/cell.


This record from the Alexandria database describes a relaxed Al2TcGe crystal. The functional is GGA-PBE.

The space group is Fm-3m (No. 225) and the conventional cell measures 6.264, 6.264 and 6.264 Å, with angles of 90.00, 90.00 and 90.00 degrees. The asymmetric unit holds Al at (0.250, 0.250, 0.250), Tc at (0.000, 0.000, 0.000) and Ge at (0.000, 0.000, 0.500).

The calculation puts the calculated density at 6.069 g/cm3. Its spin magnetization is 0.000 μB/atom. Its crystal system is cubic. For the calculated formation energy, the calculation gives 183 meV/atom. As for the uncorrected energy: -86.941 eV/cell.


> Which value of spin magnetization does entry 1 give?

0.000 μB/atom